No. 1
Tb6SnTe3As2: optimized geometry, PBE.

Lattice parameters (Å, degrees): 4.280 8.694 9.675 103.85 102.78 90.00
Fractional positions:
Tb: 0.666 0.106 0.331
Tb: 0.992 0.753 0.984
As: 0.832 0.663 0.664
Tb: 0.326 0.432 0.651
As: 0.168 0.337 0.336
Te: 0.835 0.168 0.670
Tb: 0.674 0.568 0.349
Tb: 0.008 0.247 0.016
Tb: 0.334 0.894 0.669
Sn: 0.500 0.000 0.000
Te: 0.165 0.832 0.330
Te: 0.500 0.500 0.000

* ρ: 7.8 g/cm3
* space-group type: C2/m
* ΔE_f (raw): -1354 meV/atom
* crystal system: monoclinic

No. 2
Tc2SnAs: optimized geometry, PBE.

Lattice parameters (Å, degrees): 3.136 3.136 6.498 90.00 90.00 90.00
Fractional positions:
Tc: 0.000 0.000 0.226
Tc: 0.000 0.000 0.774
As: 0.500 0.500 0.000
Sn: 0.500 0.500 0.500

* ρ: 10.1 g/cm3
* space-group type: P4/mmm
* ΔE_f: 62 meV per atom
* energy above the most stable polymorph in this dataset: 0 meV/atom
* crystal system: tetragonal

No. 3
Tc2Sn2As: optimized geometry, PBE.

Lattice parameters (Å, degrees): 6.663 6.663 4.184 90.00 90.00 90.00
Fractional positions:
Tc: 0.846 0.654 0.000
Sn: 0.844 0.344 0.500
Sn: 0.656 0.844 0.500
Sn: 0.156 0.656 0.500
As: 0.500 0.500 0.000
As: 0.000 0.000 0.000
Sn: 0.344 0.156 0.500
Tc: 0.654 0.154 0.000
Tc: 0.346 0.846 0.000
Tc: 0.154 0.346 0.000

* ρ: 9.1 g/cm3
* space-group type: P4/mbm
* ΔE_f: 209 meV per atom
* crystal system: tetragonal

No. 4
TcSn2As: optimized geometry, PBE.

Lattice parameters (Å, degrees): 6.198 6.198 7.536 65.72 65.72 90.00
Fractional positions:
Tc: 0.000 0.000 0.000
Sn: 0.108 0.625 0.250
Tc: 0.750 0.250 0.500
Sn: 0.375 0.358 0.750
As: 0.500 0.500 0.000
Sn: 0.875 0.892 0.750
As: 0.250 0.750 0.500
Sn: 0.642 0.125 0.250

* ρ: 5.8 g/cm3
* space-group type: I-42d
* ΔE_f: 637 meV per atom
* crystal system: tetragonal